Entry 1:
This record from Alexandria via LeMat-Bulk describes a relaxed RbNp2SO4 crystal. The functional is PBE.

## Properties
The calculation puts the density of states at the Fermi level at 1.939 states/eV/atom. The calculated volume is 143.09 Å³ per cell. The space group is P4/mmm, No. 123. The value obtained for the formation energy from raw total energies is -18.0 eV/f.u.

Cell and atoms, written as CIF:
```
data_RbNp2SO4
_chemical_formula_sum 'Rb1 Np2 S1 O4'
_cell_length_a 3.802
_cell_length_b 3.802
_cell_length_c 9.900
_cell_angle_alpha 90.00
_cell_angle_beta 90.00
_cell_angle_gamma 90.00
_space_group_name_H-M_alt 'P 1'
_space_group_IT_number 1
loop_
_space_group_symop_operation_xyz
'x,y,z'
loop_
_atom_site_label
_atom_site_type_symbol
_atom_site_fract_x
_atom_site_fract_y
_atom_site_fract_z
Rb1 Rb 0.000 0.000 0.000
Np1 Np 0.500 0.500 0.312
Np2 Np 0.500 0.500 0.688
S1 S 0.000 0.000 0.500
O1 O 0.000 0.500 0.220
O2 O 0.000 0.500 0.780
O3 O 0.500 0.000 0.220
O4 O 0.500 0.000 0.780
```

***

Entry 2:
This record from Alexandria via LeMat-Bulk describes a relaxed RbNpSbO6 crystal. The functional is PBE.

## Properties
The calculation puts the density of states at the Fermi level at 0.232 states/eV/atom. The calculated volume is 314.29 Å³ per cell. The space group is Imma, No. 74. The value obtained for the formation energy from raw total energies is -19.3 eV/f.u.

Cell and atoms, written as CIF:
```
data_RbNpSbO6
_chemical_formula_sum 'Rb2 Np2 Sb2 O12'
_cell_length_a 7.642
_cell_length_b 7.642
_cell_length_c 7.642
_cell_angle_alpha 122.32
_cell_angle_beta 117.95
_cell_angle_gamma 89.81
_space_group_name_H-M_alt 'P 1'
_space_group_IT_number 1
loop_
_space_group_symop_operation_xyz
'x,y,z'
loop_
_atom_site_label
_atom_site_type_symbol
_atom_site_fract_x
_atom_site_fract_y
_atom_site_fract_z
Rb1 Rb 0.353 0.103 0.250
Rb2 Rb 0.647 0.897 0.750
Np1 Np 0.000 0.500 0.500
Np2 Np 0.500 0.500 0.000
Sb1 Sb 0.000 0.000 0.500
Sb2 Sb 0.000 0.500 0.000
O1 O 0.058 0.429 0.237
O2 O 0.058 0.821 0.629
O3 O 0.069 0.819 0.250
O4 O 0.308 0.179 0.737
O5 O 0.308 0.571 0.129
O6 O 0.318 0.568 0.750
O7 O 0.682 0.432 0.250
O8 O 0.692 0.429 0.871
O9 O 0.692 0.821 0.263
O10 O 0.931 0.181 0.750
O11 O 0.942 0.179 0.371
O12 O 0.942 0.571 0.763
```

***

Entry 3:
This record from Alexandria via LeMat-Bulk describes a relaxed Rb3Np2ScO9 crystal. The functional is PBE.

## Properties
The calculation puts the density of states at the Fermi level at 0.031 states/eV/atom. The calculated volume is 231.02 Å³ per cell. The space group is P-3m1, No. 164. The value obtained for the formation energy from raw total energies is -39.8 eV/f.u.

Cell and atoms, written as CIF:
```
data_Rb3Np2ScO9
_chemical_formula_sum 'Rb3 Np2 Sc1 O9'
_cell_length_a 6.015
_cell_length_b 6.015
_cell_length_c 7.374
_cell_angle_alpha 90.00
_cell_angle_beta 90.00
_cell_angle_gamma 120.00
_space_group_name_H-M_alt 'P 1'
_space_group_IT_number 1
loop_
_space_group_symop_operation_xyz
'x,y,z'
loop_
_atom_site_label
_atom_site_type_symbol
_atom_site_fract_x
_atom_site_fract_y
_atom_site_fract_z
Rb1 Rb 0.000 0.000 0.000
Rb2 Rb 0.333 0.667 0.663
Rb3 Rb 0.667 0.333 0.337
Np1 Np 0.333 0.667 0.174
Np2 Np 0.667 0.333 0.826
Sc1 Sc 0.000 0.000 0.500
O1 O 0.000 0.500 0.000
O2 O 0.171 0.342 0.329
O3 O 0.171 0.829 0.329
O4 O 0.342 0.171 0.671
O5 O 0.500 0.000 0.000
O6 O 0.500 0.500 0.000
O7 O 0.658 0.829 0.329
O8 O 0.829 0.171 0.671
O9 O 0.829 0.658 0.671
```

***

Entry 4:
This record from Alexandria via LeMat-Bulk describes a relaxed RbNpSc2O8 crystal. The functional is PBE.

## Properties
The calculation puts the density of states at the Fermi level at 0.321 states/eV/atom. The calculated volume is 183.53 Å³ per cell. The space group is Cmmm, No. 65. The value obtained for the formation energy from raw total energies is -30.5 eV/f.u.

Cell and atoms, written as CIF:
```
data_RbNpSc2O8
_chemical_formula_sum 'Rb1 Np1 Sc2 O8'
_cell_length_a 5.001
_cell_length_b 5.001
_cell_length_c 7.339
_cell_angle_alpha 90.00
_cell_angle_beta 90.00
_cell_angle_gamma 91.12
_space_group_name_H-M_alt 'P 1'
_space_group_IT_number 1
loop_
_space_group_symop_operation_xyz
'x,y,z'
loop_
_atom_site_label
_atom_site_type_symbol
_atom_site_fract_x
_atom_site_fract_y
_atom_site_fract_z
Rb1 Rb 0.000 0.000 0.000
Np1 Np 0.000 0.000 0.500
Sc1 Sc 0.500 0.500 0.288
Sc2 Sc 0.500 0.500 0.712
O1 O 0.197 0.197 0.310
O2 O 0.197 0.197 0.690
O3 O 0.308 0.692 0.500
O4 O 0.395 0.605 0.000
O5 O 0.605 0.395 0.000
O6 O 0.692 0.308 0.500
O7 O 0.803 0.803 0.310
O8 O 0.803 0.803 0.690
```

***

Entry 5:
This record from Alexandria via LeMat-Bulk describes a relaxed Rb2NpScO6 crystal. The functional is PBE.

## Properties
The calculated volume is 150.33 Å³ per cell. The space group is Fm-3m, No. 225. The value obtained for the formation energy from raw total energies is -25.9 eV/f.u.

Cell and atoms, written as CIF:
```
data_Rb2NpScO6
_chemical_formula_sum 'Rb2 Np1 Sc1 O6'
_cell_length_a 5.968
_cell_length_b 5.968
_cell_length_c 5.968
_cell_angle_alpha 60.00
_cell_angle_beta 60.00
_cell_angle_gamma 60.00
_space_group_name_H-M_alt 'P 1'
_space_group_IT_number 1
loop_
_space_group_symop_operation_xyz
'x,y,z'
loop_
_atom_site_label
_atom_site_type_symbol
_atom_site_fract_x
_atom_site_fract_y
_atom_site_fract_z
Rb1 Rb 0.250 0.250 0.250
Rb2 Rb 0.750 0.750 0.750
Np1 Np 0.000 0.000 0.000
Sc1 Sc 0.500 0.500 0.500
O1 O 0.243 0.243 0.757
O2 O 0.243 0.757 0.243
O3 O 0.243 0.757 0.757
O4 O 0.757 0.243 0.243
O5 O 0.757 0.243 0.757
O6 O 0.757 0.757 0.243
```

***

Entry 6:
This record from Alexandria via LeMat-Bulk describes a relaxed RbNpScO6 crystal. The functional is PBE.

## Properties
The calculation puts the density of states at the Fermi level at 0.619 states/eV/atom. The calculated volume is 323.32 Å³ per cell. The space group is Imma, No. 74. The value obtained for the formation energy from raw total energies is -22.1 eV/f.u.

Cell and atoms, written as CIF:
```
data_RbNpScO6
_chemical_formula_sum 'Rb2 Np2 Sc2 O12'
_cell_length_a 7.675
_cell_length_b 7.675
_cell_length_c 7.675
_cell_angle_alpha 121.22
_cell_angle_beta 117.02
_cell_angle_gamma 91.57
_space_group_name_H-M_alt 'P 1'
_space_group_IT_number 1
loop_
_space_group_symop_operation_xyz
'x,y,z'
loop_
_atom_site_label
_atom_site_type_symbol
_atom_site_fract_x
_atom_site_fract_y
_atom_site_fract_z
Rb1 Rb 0.359 0.109 0.250
Rb2 Rb 0.641 0.891 0.750
Np1 Np 0.000 0.500 0.500
Np2 Np 0.500 0.500 0.000
Sc1 Sc 0.000 0.000 0.500
Sc2 Sc 0.000 0.500 0.000
O1 O 0.065 0.437 0.259
O2 O 0.065 0.806 0.627
O3 O 0.078 0.828 0.250
O4 O 0.317 0.567 0.750
O5 O 0.322 0.194 0.759
O6 O 0.322 0.563 0.127
O7 O 0.678 0.437 0.873
O8 O 0.678 0.806 0.241
O9 O 0.683 0.433 0.250
O10 O 0.922 0.172 0.750
O11 O 0.935 0.194 0.373
O12 O 0.935 0.563 0.741
```

***

Entry 7:
This record from Alexandria via LeMat-Bulk describes a relaxed Rb2NpSe2O2 crystal. The functional is PBE.

## Properties
The calculation puts the density of states at the Fermi level at 0.695 states/eV/atom. The calculated volume is 194.68 Å³ per cell. The space group is C2/m, No. 12. The value obtained for the formation energy from raw total energies is -13.1 eV/f.u.

Cell and atoms, written as CIF:
```
data_Rb2NpSe2O2
_chemical_formula_sum 'Rb2 Np1 Se2 O2'
_cell_length_a 7.034
_cell_length_b 7.034
_cell_length_c 7.849
_cell_angle_alpha 118.39
_cell_angle_beta 118.39
_cell_angle_gamma 35.34
_space_group_name_H-M_alt 'P 1'
_space_group_IT_number 1
loop_
_space_group_symop_operation_xyz
'x,y,z'
loop_
_atom_site_label
_atom_site_type_symbol
_atom_site_fract_x
_atom_site_fract_y
_atom_site_fract_z
Rb1 Rb 0.183 0.183 0.207
Rb2 Rb 0.817 0.817 0.793
Np1 Np 0.000 0.000 0.500
Se1 Se 0.458 0.458 0.231
Se2 Se 0.542 0.542 0.769
O1 O 0.153 0.153 0.568
O2 O 0.847 0.847 0.432
```

***

Entry 8:
This record from Alexandria via LeMat-Bulk describes a relaxed RbNpSeO5 crystal. The functional is PBE.

## Properties
The calculation puts the density of states at the Fermi level at 0.535 states/eV/atom. The calculated volume is 311.17 Å³ per cell. The space group is C2/c, No. 15. The value obtained for the formation energy from raw total energies is -15.6 eV/f.u.

Cell and atoms, written as CIF:
```
data_RbNpSeO5
_chemical_formula_sum 'Rb2 Np2 Se2 O10'
_cell_length_a 6.528
_cell_length_b 6.528
_cell_length_c 8.059
_cell_angle_alpha 92.86
_cell_angle_beta 92.86
_cell_angle_gamma 114.49
_space_group_name_H-M_alt 'P 1'
_space_group_IT_number 1
loop_
_space_group_symop_operation_xyz
'x,y,z'
loop_
_atom_site_label
_atom_site_type_symbol
_atom_site_fract_x
_atom_site_fract_y
_atom_site_fract_z
Rb1 Rb 0.148 0.852 0.750
Rb2 Rb 0.852 0.148 0.250
Np1 Np 0.500 0.500 0.000
Np2 Np 0.500 0.500 0.500
Se1 Se 0.208 0.792 0.250
Se2 Se 0.792 0.208 0.750
O1 O 0.209 0.278 0.999
O2 O 0.223 0.620 0.400
O3 O 0.278 0.209 0.499
O4 O 0.380 0.777 0.100
O5 O 0.439 0.561 0.750
O6 O 0.561 0.439 0.250
O7 O 0.620 0.223 0.900
O8 O 0.722 0.791 0.501
O9 O 0.777 0.380 0.600
O10 O 0.791 0.722 0.001
```

***

Entry 9:
This record from Alexandria via LeMat-Bulk describes a relaxed RbNpSeO2 crystal. The functional is PBE.

## Properties
The calculation puts the density of states at the Fermi level at 1.037 states/eV/atom. The calculated volume is 106.91 Å³ per cell. The space group is P4mm, No. 99. The value obtained for the formation energy from raw total energies is -10.1 eV/f.u.

Cell and atoms, written as CIF:
```
data_RbNpSeO2
_chemical_formula_sum 'Rb1 Np1 Se1 O2'
_cell_length_a 4.332
_cell_length_b 4.332
_cell_length_c 5.696
_cell_angle_alpha 90.00
_cell_angle_beta 90.00
_cell_angle_gamma 90.00
_space_group_name_H-M_alt 'P 1'
_space_group_IT_number 1
loop_
_space_group_symop_operation_xyz
'x,y,z'
loop_
_atom_site_label
_atom_site_type_symbol
_atom_site_fract_x
_atom_site_fract_y
_atom_site_fract_z
Rb1 Rb 0.000 0.000 0.000
Np1 Np 0.500 0.500 0.400
Se1 Se 0.500 0.500 0.883
O1 O 0.000 0.500 0.381
O2 O 0.500 0.000 0.381
```

***

Entry 10:
This record from Alexandria via LeMat-Bulk describes a relaxed Rb2NpSeO2 crystal. The functional is PBE.

## Properties
The calculation puts the density of states at the Fermi level at 1.415 states/eV/atom. The calculated volume is 135.15 Å³ per cell. The space group is P4/mmm, No. 123. The value obtained for the formation energy from raw total energies is -10.8 eV/f.u.

Cell and atoms, written as CIF:
```
data_Rb2NpSeO2
_chemical_formula_sum 'Rb2 Np1 Se1 O2'
_cell_length_a 4.446
_cell_length_b 4.446
_cell_length_c 6.836
_cell_angle_alpha 90.00
_cell_angle_beta 90.00
_cell_angle_gamma 90.00
_space_group_name_H-M_alt 'P 1'
_space_group_IT_number 1
loop_
_space_group_symop_operation_xyz
'x,y,z'
loop_
_atom_site_label
_atom_site_type_symbol
_atom_site_fract_x
_atom_site_fract_y
_atom_site_fract_z
Rb1 Rb 0.000 0.000 0.222
Rb2 Rb 0.000 0.000 0.778
Np1 Np 0.500 0.500 0.500
Se1 Se 0.500 0.500 0.000
O1 O 0.000 0.500 0.500
O2 O 0.500 0.000 0.500
```

***

Entry 11:
This record from Alexandria via LeMat-Bulk describes a relaxed Rb2NpSiO6 crystal. The functional is PBE.

## Properties
The calculation puts the density of states at the Fermi level at 0.091 states/eV/atom. The calculated volume is 156.93 Å³ per cell. The space group is I4/mmm, No. 139. The value obtained for the formation energy from raw total energies is -23.2 eV/f.u.

Cell and atoms, written as CIF:
```
data_Rb2NpSiO6
_chemical_formula_sum 'Rb2 Np1 Si1 O6'
_cell_length_a 6.418
_cell_length_b 6.418
_cell_length_c 6.418
_cell_angle_alpha 128.64
_cell_angle_beta 128.64
_cell_angle_gamma 75.58
_space_group_name_H-M_alt 'P 1'
_space_group_IT_number 1
loop_
_space_group_symop_operation_xyz
'x,y,z'
loop_
_atom_site_label
_atom_site_type_symbol
_atom_site_fract_x
_atom_site_fract_y
_atom_site_fract_z
Rb1 Rb 0.250 0.750 0.500
Rb2 Rb 0.750 0.250 0.500
Np1 Np 0.000 0.000 0.000
Si1 Si 0.500 0.500 0.000
O1 O 0.186 0.186 0.000
O2 O 0.283 0.283 0.565
O3 O 0.283 0.717 0.000
O4 O 0.717 0.283 0.000
O5 O 0.717 0.717 0.435
O6 O 0.814 0.814 0.000
```

***

Entry 12:
This record from Alexandria via LeMat-Bulk describes a relaxed RbNpSiO6 crystal. The functional is PBE.

## Properties
The calculated volume is 148.51 Å³ per cell. The space group is P312, No. 149. The value obtained for the formation energy from raw total energies is -21.3 eV/f.u.

Cell and atoms, written as CIF:
```
data_RbNpSiO6
_chemical_formula_sum 'Rb1 Np1 Si1 O6'
_cell_length_a 5.176
_cell_length_b 5.176
_cell_length_c 6.401
_cell_angle_alpha 90.00
_cell_angle_beta 90.00
_cell_angle_gamma 120.00
_space_group_name_H-M_alt 'P 1'
_space_group_IT_number 1
loop_
_space_group_symop_operation_xyz
'x,y,z'
loop_
_atom_site_label
_atom_site_type_symbol
_atom_site_fract_x
_atom_site_fract_y
_atom_site_fract_z
Rb1 Rb 0.000 0.000 0.000
Np1 Np 0.333 0.667 0.500
Si1 Si 0.667 0.333 0.500
O1 O 0.395 0.032 0.662
O2 O 0.395 0.363 0.338
O3 O 0.637 0.032 0.338
O4 O 0.637 0.605 0.662
O5 O 0.968 0.363 0.662
O6 O 0.968 0.605 0.338
```

***

Number 1: magnetization 5.000 μB per formula unit. Number 2: magnetization 1.000 μB per formula unit. Number 3: magnetization 2.000 μB per formula unit. Number 4: magnetization 0.208 μB per formula unit. Number 5: magnetization 0.000 μB per formula unit. Number 6: magnetization 1.043 μB per formula unit. Number 7: magnetization 1.000 μB per formula unit. Number 8: magnetization 1.824 μB per formula unit. Number 9: magnetization 2.000 μB per formula unit. Number 10: magnetization 3.000 μB per formula unit. Number 11: magnetization 0.999 μB per formula unit. Number 12: magnetization 0.000 μB per formula unit.